P | KReAu2 | SCAN | single point on PBEsol structure

Output
D(E_F) in states/eV per cell: 4.22
Total moment in μB per cell: 1.59

a b c (Å): 8.783 2.688 7.234
angles (deg): 90.00 94.60 90.00
Space group C2/m (No. 12)
Unique sites:
K 0.000 0.000 0.000 (multiplicity 2)
Re 0.000 0.500 0.500 (multiplicity 2)
Au 0.240 0.000 0.680 (multiplicity 4)

***

Q | KReAu2 | SCAN | single point on PBEsol structure

Output
D(E_F) in states/eV per cell: 2.10
Total moment in μB per cell: 0.72

a b c (Å): 2.657 4.692 7.063
angles (deg): 90.00 90.00 90.00
Space group Pmm2 (No. 25)
Unique sites:
K 0.000 0.000 0.000 (multiplicity 1)
Re 0.500 0.500 0.376 (multiplicity 1)
Au 0.000 0.000 0.439 (multiplicity 1)
Au 0.500 0.500 0.743 (multiplicity 1)

***

Most stable: P (next structure +42 meV per atom)